The following is a DFT calculation (SCAN) of Fe2NiPt at its PBEsol-relaxed geometry.

Computed properties:
* total DFT energy (no corrections): -30.94 eV/atom
* density of states at the Fermi level: 2.81 states/eV per cell
* energy of formation: -285 meV per atom

Cell and atoms, written as POSCAR:
```
Fe2NiPt
1.0
-2.415 1.095 -2.506
0.449 -3.139 -1.804
-1.714 -0.481 4.098
Ni Fe Pt
1 2 1
direct
0.500 0.500 0.000 Ni
0.000 0.000 0.000 Fe
0.750 0.250 0.500 Fe
0.250 0.750 0.500 Pt
```